Material: ScMn3Pt4
Method: DFT, GGA-PBE
State: optimized geometry

POSCAR file:
```
ScMn3Pt4
1.0
4.7026 0.0000 0.0000
0.0000 5.8091 0.0000
0.0000 0.0000 9.1920
Sc Mn Pt
2 6 8
Direct
0.0000 0.5000 0.0000
0.0000 0.5000 0.5000
0.0000 0.0000 0.0000
0.0000 0.0000 0.5000
0.5974 0.0000 0.7500
0.4026 0.0000 0.2500
0.5771 0.5000 0.7500
0.4229 0.5000 0.2500
0.5000 0.7545 0.0000
0.5000 0.7545 0.5000
0.5000 0.2455 0.0000
0.5000 0.2455 0.5000
0.0979 0.7563 0.7500
0.9021 0.7563 0.2500
0.9021 0.2437 0.2500
0.0979 0.2437 0.7500
```

**DFT total energy**: -7.835 eV per atom
**Formation energy from the elements**: -451 kJ/mol of formula units
**Calculated density**: 13.1 g/cm3

Material: LaTmHgRh
Method: DFT, GGA-PBE
State: optimized geometry

POSCAR file:
```
LaTmHgRh
1.0
-4.2768 -1.2411 -2.6034
-2.9143 -3.9585 1.5642
-4.6355 0.8762 2.0868
Tm Rh Hg La
1 1 1 1
Direct
0.2500 0.2500 0.2500
0.0000 0.0000 0.0000
0.5000 0.5000 0.5000
0.7500 0.7500 0.7500
```

**DFT total energy**: -4.820 eV per atom
**Formation energy from the elements**: -215 kJ/mol of formula units
**Calculated density**: 10.5 g/cm3

Material: La2CdOsF
Method: DFT, GGA-PBE
State: optimized geometry

POSCAR file:
```
La2CdOsF
1.0
5.1036 0.0000 0.0000
0.0000 4.4123 0.0000
0.0000 0.0000 5.1036
F Cd Os La
1 1 1 2
Direct
0.0000 0.0000 0.0000
0.5000 0.5000 0.5000
0.0000 0.5000 0.0000
0.0000 0.0000 0.5000
0.5000 0.0000 0.0000
```

**DFT total energy**: -5.216 eV per atom
**Formation energy without anion corrections**: -0.442 eV/atom
**Calculated density**: 8.7 g/cm3

Material: LiTlRh2
Method: DFT, GGA-PBE
State: optimized geometry

POSCAR file:
```
LiTlRh2
1.0
3.1772 0.0000 0.0000
0.0000 3.1772 0.0000
0.0000 0.0000 6.2907
Li Rh Tl
1 2 1
Direct
0.5000 0.5000 0.7801
0.0000 0.0000 0.9840
0.5000 0.5000 0.2242
0.0000 0.0000 0.5116
```

**DFT total energy**: -4.686 eV per atom
**Formation energy from the elements**: 23 kJ/mol of formula units
**Calculated density**: 10.9 g/cm3

Material: NaTa2Cr
Method: DFT, GGA-PBE
State: optimized geometry

POSCAR file:
```
NaTa2Cr
1.0
0.0000 3.2116 3.2116
3.2116 0.0000 3.2116
3.2116 3.2116 0.0000
Cr Na Ta
1 1 2
Direct
0.5000 0.5000 0.5000
0.0000 0.0000 0.0000
0.2500 0.2500 0.2500
0.7500 0.7500 0.7500
```

**DFT total energy**: -7.822 eV per atom
**Formation energy from the elements**: 324 kJ/mol of formula units
**Calculated density**: 11.0 g/cm3
**Offset from the most stable computed form**: 0.0 meV/atom

Material: NaSrTbSbO6
Method: DFT, GGA-PBE
State: optimized geometry

POSCAR file:
```
NaSrTbSbO6
1.0
3.1576 3.3247 3.7971
-2.5615 2.1257 4.9358
1.5193 -2.1917 5.3227
Na Sr Tb Sb O
1 1 1 1 6
Direct
0.7500 0.7500 0.7500
0.2500 0.2500 0.2500
0.5000 0.5000 0.5000
0.0000 0.0000 0.0000
0.2360 0.7640 0.2360
0.7640 0.2360 0.7640
0.2360 0.7640 0.7640
0.7640 0.2360 0.2360
0.2360 0.2360 0.7640
0.7640 0.7640 0.2360
```

**DFT total energy**: -6.345 eV per atom
**Formation energy without anion corrections**: -2.195 eV/atom
**Calculated density**: 5.4 g/cm3

Material: BeZnFe2
Method: DFT, GGA-PBE
State: optimized geometry

POSCAR file:
```
BeZnFe2
1.0
2.4623 0.0170 0.0000
-0.6295 2.3805 0.0000
0.0000 0.0000 7.6872
Be Zn Fe
1 1 2
Direct
0.5000 0.5000 0.7649
0.0000 0.0000 0.5116
0.0000 0.0000 0.9835
0.5000 0.5000 0.2401
```

**DFT total energy**: -5.446 eV per atom
**Formation energy from the elements**: 14 kJ/mol of formula units
**Calculated density**: 6.8 g/cm3
**Offset from the most stable computed form**: 113.2 meV/atom

Material: Er2Mg2Ru
Method: DFT, GGA-PBE
State: optimized geometry

POSCAR file:
```
Er2Mg2Ru
1.0
-9.9516 -3.2239 1.9621
-7.3289 -6.1318 4.6868
8.4918 6.2330 -1.5219
Ru Mg Er
1 2 2
Direct
0.0000 0.0000 0.0000
0.7993 0.7993 0.0000
0.2007 0.2007 0.0000
0.5791 0.5791 0.0000
0.4209 0.4209 0.0000
```

**DFT total energy**: -4.598 eV per atom
**Formation energy from the elements**: -135 kJ/mol of formula units
**Calculated density**: 6.8 g/cm3

Look up the DFT total energy of the sixth one. -6.345 eV per atom

Which of these has the highest DFT total energy? Er2Mg2Ru

DFT total energy of number 5 (NaTa2Cr)? -7.822 eV per atom